# Ag2S

A relaxed structure of Ag2S (GGA-PBEsol, Alexandria via LeMat-Bulk).

Output
Symmetry: Cmce (64)
Crystal system: orthorhombic

Cell lengths 4.3640, 4.3640, 6.1211 Å; angles 90.00, 90.00, 115.03 degrees
Element x y z (fractional)
1 Ag 0.1686 0.8314 0.8850
2 Ag 0.3314 0.6686 0.3850
3 Ag 0.6686 0.3314 0.6150
4 Ag 0.8314 0.1686 0.1150
5 S 0.0000 0.0000 0.5000
6 S 0.5000 0.5000 0.0000

---

# Ag2S

A relaxed structure of Ag2S (GGA-PBEsol, Alexandria via LeMat-Bulk).

Output
Symmetry: Cmcm (63)
Crystal system: orthorhombic

Cell lengths 4.1518, 4.1518, 7.0695 Å; angles 90.00, 90.00, 111.31 degrees
Element x y z (fractional)
1 Ag 0.0000 0.0000 0.0000
2 Ag 0.0000 0.0000 0.5000
3 Ag 0.3795 0.6205 0.7500
4 Ag 0.6205 0.3795 0.2500
5 S 0.2361 0.7639 0.2500
6 S 0.7639 0.2361 0.7500

---

# Ag2S

A relaxed structure of Ag2S (GGA-PBEsol, Alexandria via LeMat-Bulk).

Output
Symmetry: P2_1 (4)
Crystal system: monoclinic

Cell lengths 3.8976, 5.5561, 5.5472 Å; angles 90.00, 90.75, 90.00 degrees
Element x y z (fractional)
1 Ag 0.0040 0.0000 0.0544
2 Ag 0.0076 0.3841 0.4457
3 Ag 0.9924 0.8841 0.5543
4 Ag 0.9960 0.5000 0.9456
5 S 0.3487 0.6932 0.2528
6 S 0.6513 0.1932 0.7472

---

no.,total energy (eV per atom),formation energy (no corrections) (eV per atom)
1,-3.65,0.023
2,-3.70,-0.029
3,-3.69,-0.021